Mg2Sn2Bi (GGA-PBEsol, relaxed); energy relative to the elements = -0.094 eV/atom; crystal system = tetragonal
1.0
3.257 0.000 0.000
0.000 8.816 0.000
0.000 0.000 8.816
Sn Bi Mg
4 2 4
direct
0.000 0.164 0.336
0.000 0.836 0.664
0.000 0.336 0.836
0.000 0.664 0.164
0.000 0.000 0.000
0.000 0.500 0.500
0.500 0.867 0.367
0.500 0.133 0.633
0.500 0.633 0.867
0.500 0.367 0.133


KMgBr2 (GGA-PBEsol, relaxed); ΔE_f (raw) = -1058 meV per atom; polymorph energy (0 for the lowest one) = 47 meV per atom; crystal system = trigonal
1.0
-3.751 -0.542 -2.609
-1.630 -4.221 -0.836
-5.775 -1.166 4.488
Mg Br K
1 2 1
direct
0.000 0.000 0.000
0.738 0.738 0.787
0.262 0.262 0.213
0.500 0.500 0.500


Zr3Al (GGA-PBEsol, relaxed); energy relative to the elements = -0.310 eV/atom; crystal system = cubic
1.0
-4.245 0.643 -0.507
-0.659 -1.091 4.131
0.486 4.134 1.169
Zr Al
3 1
direct
0.000 0.500 0.500
0.500 0.500 0.000
0.500 0.000 0.500
0.000 0.000 0.000


DyReB4 (GGA-PBEsol, relaxed); energy relative to the elements = -0.653 eV/atom; crystal system = orthorhombic
1.0
-1.918 1.232 2.754
2.532 -4.023 3.562
8.370 7.470 2.486
B Re Dy
16 4 4
direct
0.500 0.712 0.685
0.500 0.977 0.308
0.500 0.136 0.968
0.500 0.114 0.547
0.500 0.288 0.315
0.500 0.864 0.032
0.500 0.788 0.185
0.500 0.477 0.192
0.500 0.364 0.468
0.500 0.614 0.953
0.500 0.523 0.808
0.500 0.386 0.047
0.500 0.023 0.692
0.500 0.886 0.453
0.500 0.636 0.532
0.500 0.212 0.815
0.000 0.633 0.087
0.000 0.367 0.913
0.000 0.867 0.587
0.000 0.133 0.413
0.000 0.873 0.850
0.000 0.373 0.650
0.000 0.127 0.150
0.000 0.627 0.350


Mn2ZnSbRu (GGA-PBEsol, relaxed); ΔE_f (raw) = 1451 meV per atom; crystal system = tetragonal
1.0
-2.321 4.183 -0.357
-3.872 -2.286 -1.621
-1.583 -0.496 4.482
Sb Ru Zn Mn
1 1 1 2
direct
0.000 0.000 0.000
0.500 0.000 0.000
0.500 0.500 0.500
0.000 0.500 0.000
0.000 0.000 0.500


MgI2NF (GGA-PBEsol, relaxed); ΔE_f (raw) = 671 meV per atom; polymorph energy (0 for the lowest one) = 610 meV per atom; crystal system = tetragonal
1.0
-0.443 3.744 -0.143
-0.639 -0.284 -5.457
-5.426 -0.616 0.668
F N Mg I
1 1 1 2
direct
0.000 0.000 0.000
0.500 0.000 0.000
0.500 0.500 0.500
0.000 0.500 0.000
0.000 0.000 0.500


Al2TlPt2 (GGA-PBEsol, relaxed); energy relative to the elements = -0.596 eV/atom; polymorph energy (0 for the lowest one) = 0 meV per atom; crystal system = tetragonal
1.0
3.883 0.000 0.000
0.000 3.883 0.000
-1.942 -1.942 5.906
Al Pt Tl
2 2 1
direct
0.750 0.250 0.500
0.250 0.750 0.500
0.618 0.618 0.237
0.382 0.382 0.763
0.000 0.000 0.000


TiFe3Pb (GGA-PBEsol, relaxed); energy relative to the elements = 1.750 eV/atom; polymorph energy (0 for the lowest one) = 690 meV per atom; crystal system = cubic
1.0
-0.903 4.481 -1.232
-2.866 0.451 3.741
3.658 1.460 2.626
Fe Ti Pb
3 1 1
direct
0.000 0.000 0.500
0.000 0.500 0.000
0.500 0.000 0.000
0.500 0.500 0.500
0.000 0.000 0.000


TaTiMnCr2 (GGA-PBEsol, relaxed); energy relative to the elements = 1.243 eV/atom; crystal system = tetragonal
1.0
4.161 0.000 0.000
0.000 4.212 0.000
0.000 0.000 4.212
Ta Cr Mn Ti
1 2 1 1
direct
0.500 0.500 0.500
0.000 0.500 0.000
0.000 0.000 0.500
0.500 0.000 0.000
0.000 0.000 0.000


TiTe3Se (GGA-PBEsol, relaxed); ΔE_f (raw) = 120 meV per atom; crystal system = cubic
1.0
-0.657 -5.130 -0.104
4.984 -0.663 1.219
-1.222 0.055 5.026
Te Ti Se
3 1 1
direct
0.000 0.500 0.000
0.500 0.000 0.000
0.000 0.000 0.500
0.000 0.000 0.000
0.500 0.500 0.500


InIrAu2 (GGA-PBEsol, relaxed); energy relative to the elements = 0.321 eV/atom; crystal system = orthorhombic
1.0
-2.529 1.241 -0.218
1.030 -1.510 -2.233
-4.251 -8.055 3.486
Au Ir In
2 1 1
direct
0.000 0.000 0.240
0.000 0.000 0.760
0.500 0.000 0.000
0.500 0.000 0.500


Mg2Sb (GGA-PBEsol, relaxed); ΔE_f (raw) = -123 meV per atom; crystal system = tetragonal
1.0
-2.300 2.488 -1.997
-2.469 0.171 3.057
4.716 2.179 1.157
Sb Mg
1 2
direct
0.000 0.000 0.000
0.660 0.660 0.320
0.340 0.340 0.680


Mn2V3CrP6O24 (GGA-PBEsol, relaxed); ΔE_f (raw) = -2145 meV per atom; crystal system = trigonal
1.0
8.499 0.000 0.000
4.250 7.360 0.000
4.250 2.453 6.899
O V Mn P Cr
24 3 2 6 1
direct
0.191 0.994 0.436
0.811 0.001 0.566
0.312 0.121 0.066
0.561 0.415 0.263
0.502 0.312 0.066
0.379 0.191 0.436
0.239 0.442 0.733
0.685 0.881 0.932
0.001 0.621 0.566
0.585 0.239 0.733
0.994 0.379 0.436
0.262 0.914 0.768
0.761 0.561 0.263
0.738 0.085 0.234
0.415 0.761 0.263
0.621 0.811 0.566
0.055 0.262 0.768
0.121 0.502 0.066
0.085 0.943 0.234
0.502 0.685 0.932
0.943 0.738 0.234
0.442 0.585 0.733
0.914 0.055 0.768
0.881 0.502 0.932
0.357 0.357 0.928
0.643 0.643 0.071
0.858 0.858 0.427
0.501 0.501 0.498
0.000 0.000 0.000
0.539 0.250 0.252
0.459 0.750 0.749
0.250 0.960 0.252
0.041 0.459 0.749
0.960 0.539 0.252
0.750 0.041 0.749
0.141 0.141 0.576


CsSn3S (GGA-PBEsol, relaxed); ΔE_f (raw) = 1730 meV per atom; crystal system = cubic
1.0
5.979 0.000 0.000
0.000 5.979 0.000
0.000 0.000 5.979
Sn Cs S
3 1 1
direct
0.500 0.000 0.000
0.000 0.000 0.500
0.000 0.500 0.000
0.000 0.000 0.000
0.500 0.500 0.500


Sr2Ti2Sb (GGA-PBEsol, relaxed); ΔE_f (raw) = 56 meV per atom; crystal system = tetragonal
1.0
-0.963 1.728 -3.056
1.018 -2.895 -1.958
-9.851 -3.430 3.332
Sb Sr Ti
1 2 2
direct
0.000 0.000 0.000
0.397 0.397 0.794
0.603 0.603 0.206
0.750 0.250 0.500
0.250 0.750 0.500


Co2AsS (GGA-PBEsol, relaxed); ΔE_f (raw) = 86 meV per atom; crystal system = cubic
1.0
-2.222 -0.526 3.396
0.668 -3.246 2.400
1.731 0.494 3.675
Co As S
2 1 1
direct
0.750 0.750 0.750
0.250 0.250 0.250
0.500 0.500 0.500
0.000 0.000 0.000


Ta2Zn2CuO8 (GGA-PBEsol, relaxed); ΔE_f (raw) = -2009 meV per atom; crystal system = monoclinic
1.0
5.162 0.000 0.030
0.000 5.913 0.000
-0.345 -2.956 9.469
O Zn Ta Cu
16 4 4 2
direct
0.434 0.046 0.861
0.563 0.721 0.640
0.437 0.575 0.887
0.063 0.919 0.640
0.636 0.164 0.615
0.563 0.425 0.113
0.864 0.548 0.385
0.934 0.814 0.861
0.937 0.312 0.887
0.063 0.688 0.113
0.136 0.452 0.615
0.066 0.186 0.139
0.566 0.954 0.139
0.937 0.081 0.360
0.437 0.279 0.360
0.364 0.836 0.385
0.239 0.566 0.441
0.761 0.434 0.559
0.261 0.125 0.559
0.739 0.875 0.441
0.267 0.728 0.772
0.733 0.272 0.228
0.767 0.044 0.772
0.233 0.956 0.228
0.250 0.358 0.000
0.750 0.642 0.000


Ba2FeGe2O7 (GGA-PBEsol, relaxed); ΔE_f (raw) = -2057 meV per atom; crystal system = tetragonal
1.0
-3.883 -0.789 -3.807
1.092 -8.362 0.619
-5.883 -0.319 6.066
O Ba Fe Ge
14 4 2 4
direct
0.786 0.634 0.134
0.678 0.684 0.580
0.214 0.866 0.634
0.214 0.134 0.366
0.678 0.920 0.816
0.786 0.366 0.866
0.678 0.316 0.420
0.678 0.080 0.184
0.659 0.000 0.500
0.341 0.500 0.000
0.322 0.420 0.684
0.322 0.816 0.080
0.322 0.184 0.920
0.322 0.580 0.316
0.992 0.334 0.166
0.008 0.834 0.334
0.992 0.666 0.834
0.008 0.166 0.666
0.500 0.000 0.000
0.500 0.500 0.500
0.529 0.139 0.361
0.529 0.861 0.639
0.471 0.361 0.861
0.471 0.639 0.139


LiMg2GeCl (GGA-PBEsol, relaxed); ΔE_f (raw) = 154 meV per atom; crystal system = tetragonal
1.0
-1.179 -2.009 -4.315
-2.442 -3.561 2.324
-4.294 2.845 -0.152
Cl Mg Li Ge
1 2 1 1
direct
0.000 0.000 0.000
0.000 0.500 0.000
0.500 0.000 0.000
0.500 0.500 0.500
0.000 0.000 0.500


Zr2InCu (GGA-PBEsol, relaxed); energy relative to the elements = -0.163 eV/atom; crystal system = orthorhombic
1.0
-2.041 2.141 1.470
-2.426 -3.180 1.264
4.037 -1.474 4.040
In Zr Cu
1 2 1
direct
0.691 0.500 0.382
0.421 0.500 0.841
0.077 0.000 0.154
0.831 0.000 0.661